# 1
Entry from Alexandria via LeMat-Bulk: a PBEsol-optimized structure of Ni2HPt (meta-GGA SCAN).

Values from the calculation:
DOS(E_F): 3.090 states/eV/cell
Electronic total energy: -25.91 eV/atom

a = 3.9651 Å, b = 3.9651 Å, c = 3.9651 Å
α = 60.00°, β = 60.00°, γ = 60.00°
With the nearest neighbours (Å) after each atom.
Fractional coordinates of all 4 atoms:
1 Ni 0.2500 0.2500 0.2500  4 H 2.43, 4 Pt 2.43
2 Ni 0.7500 0.7500 0.7500  4 Pt 2.43, 4 H 2.43
3 H 0.0000 0.0000 0.0000  8 Ni 2.43
4 Pt 0.5000 0.5000 0.5000  8 Ni 2.43



# 2
Entry from Alexandria via LeMat-Bulk: a PBEsol-optimized structure of OsRu2 (meta-GGA SCAN).

Values from the calculation:
Polymorph energy (0 for the lowest one): 2 kJ/mol of formula units
DOS(E_F): 4.428 states/eV/cell
E_form: -9.9 meV/atom

a = 7.1440 Å, b = 7.1440 Å, c = 4.2715 Å
α = 90.00°, β = 90.00°, γ = 158.18°
With the nearest neighbours (Å) after each atom.
Fractional coordinates of all 6 atoms:
1 Os 0.2213 0.7787 0.7500  6 Ru 2.64-2.72, 6 Os 2.65-2.70
2 Os 0.7787 0.2213 0.2500  6 Ru 2.64-2.72, 6 Os 2.65-2.70
3 Ru 0.1102 0.8898 0.2500  8 Ru 2.64-2.70, 4 Os 2.64-2.72
4 Ru 0.4446 0.5554 0.2500  10 Ru 2.64-2.70, 2 Os 2.69
5 Ru 0.5554 0.4446 0.7500  10 Ru 2.64-2.70, 2 Os 2.69
6 Ru 0.8898 0.1102 0.7500  8 Ru 2.64-2.70, 4 Os 2.64-2.72



# 3
Entry from Alexandria via LeMat-Bulk: a PBEsol-optimized structure of Li2TlIn (meta-GGA SCAN).

Values from the calculation:
DOS(E_F): 0.980 states/eV/cell
E_form: -347.5 meV/atom

a = 4.7802 Å, b = 4.7802 Å, c = 3.3684 Å
α = 90.00°, β = 90.00°, γ = 90.00°
With the nearest neighbours (Å) after each atom.
Fractional coordinates of all 4 atoms:
1 Li 0.0000 0.5000 0.0000  4 In 2.92, 4 Tl 2.92
2 Li 0.5000 0.0000 0.0000  4 In 2.92, 4 Tl 2.92
3 Tl 0.0000 0.0000 0.5000  8 Li 2.92
4 In 0.5000 0.5000 0.5000  8 Li 2.92



# 4
Entry from Alexandria via LeMat-Bulk: a PBEsol-optimized structure of LiCo8O16 (meta-GGA SCAN).

Values from the calculation:
DOS(E_F): 14.893 states/eV/cell
E_form (uncorrected): -1.20 eV per atom

a = 6.3664 Å, b = 6.3728 Å, c = 7.3553 Å
α = 75.67°, β = 65.67°, γ = 70.53°
With the nearest neighbours (Å) after each atom.
Fractional coordinates of all 25 atoms:
1 Li 0.0000 0.0000 0.0000  6 O 2.12-2.14
2 Co 0.0676 0.4433 0.8099  6 O 1.84-1.87
3 Co 0.1864 0.3127 0.4382  6 O 1.84-1.88
4 Co 0.3184 0.1904 0.0603  6 O 1.84-1.87
5 Co 0.4438 0.0666 0.6846  6 O 1.84-1.87
6 Co 0.5562 0.9334 0.3154  6 O 1.84-1.87
7 Co 0.6816 0.8096 0.9397  6 O 1.84-1.87
8 Co 0.8136 0.6873 0.5618  6 O 1.84-1.88
9 Co 0.9324 0.5567 0.1901  6 O 1.84-1.87
10 O 0.0026 0.2995 0.0746  3 Co 1.86-1.87
11 O 0.1236 0.1825 0.7082  3 Co 1.86-1.88
12 O 0.1276 0.5694 0.5461  3 Co 1.84-1.85
13 O 0.2465 0.0579 0.3272  3 Co 1.84-1.86
14 O 0.2485 0.4431 0.1748  3 Co 1.84-1.86
15 O 0.3663 0.9341 0.9528  3 Co 1.87
16 O 0.3808 0.3225 0.7958  3 Co 1.85-1.86
17 O 0.4979 0.8082 0.5794  3 Co 1.84-1.86
18 O 0.5021 0.1918 0.4206  3 Co 1.84-1.86
19 O 0.6192 0.6775 0.2042  3 Co 1.85-1.86
20 O 0.6337 0.0659 0.0472  3 Co 1.87
21 O 0.7515 0.5569 0.8252  3 Co 1.84-1.86
22 O 0.7535 0.9421 0.6728  3 Co 1.84-1.86
23 O 0.8724 0.4306 0.4539  3 Co 1.84-1.85
24 O 0.8764 0.8175 0.2918  3 Co 1.86-1.88
25 O 0.9974 0.7005 0.9254  3 Co 1.86-1.87



- Among the records above, which one has the highest DOS(E_F)?
  LiCo8O16



- Among the records above, which one has the highest DOS(E_F)?
  LiCo8O16